A:
Compound: CrNi3F
Source: Alexandria
Functional: PBE+U
Structure: relaxed

Properties
**Total moment**: 1.5434 μB per atom

Cell lengths 4.143, 4.143, 4.143 Å; angles 90.00, 90.00, 90.00 degrees
Space group Pm-3m (No. 221)
One atom of each set of equivalent atoms:
Cr  0.000  0.000  0.000 [1 per cell]
Ni  0.000  0.500  0.500 [3 per cell]
F  0.500  0.500  0.500 [1 per cell]

---

B:
Compound: CrNi3F
Source: Alexandria
Functional: PBE+U
Structure: relaxed

Properties
**Total moment**: 0.4374 μB per atom

Cell lengths 4.302, 4.302, 4.302 Å; angles 90.00, 90.00, 90.00 degrees
Space group Pm-3m (No. 221)
One atom of each set of equivalent atoms:
Cr  0.000  0.000  0.000 [1 per cell]
Ni  0.000  0.000  0.500 [3 per cell]
F  0.500  0.500  0.500 [1 per cell]

---

A (173.2 kJ/mol of atoms below the next structure)

---

A:
Compound: CrNiF2
Source: Alexandria
Functional: PBE+U
Structure: relaxed

Properties
**Total moment**: 0.9626 μB per atom

Cell lengths 5.746, 5.746, 5.746 Å; angles 90.00, 90.00, 90.00 degrees
Space group Fm-3m (No. 225)
One atom of each set of equivalent atoms:
Cr  0.000  0.000  0.000 [4 per cell]
Ni  0.000  0.000  0.500 [4 per cell]
F  0.250  0.250  0.250 [8 per cell]

---

B:
Compound: CrNiF2
Source: Alexandria
Functional: PBE+U
Structure: relaxed

Properties
**Total moment**: 1.4573 μB per atom

Cell lengths 5.060, 5.060, 9.896 Å; angles 90.00, 90.00, 90.00 degrees
Space group I-42d (No. 122)
One atom of each set of equivalent atoms:
Cr  0.000  0.000  0.000 [4 per cell]
Ni  0.000  0.000  0.500 [4 per cell]
F  0.242  0.250  0.625 [8 per cell]

---

B (44.5 kJ/mol of atoms below the next structure)

---

A:
Compound: Cr4O3F9
Source: Alexandria
Functional: PBE+U
Structure: relaxed

Properties
**Total moment**: 0.5625 μB per atom

Cell lengths 5.505, 5.671, 9.114 Å; angles 75.28, 72.87, 64.62 degrees
Space group P1 (No. 1)
One atom of each set of equivalent atoms:
Cr  0.000  0.000  0.000 [1 per cell]
Cr  0.070  0.626  0.837 [1 per cell]
Cr  0.373  0.451  0.518 [1 per cell]
Cr  0.515  0.038  0.356 [1 per cell]
O  0.218  0.884  0.831 [1 per cell]
O  0.484  0.743  0.412 [1 per cell]
O  0.720  0.040  0.163 [1 per cell]
F  0.016  0.679  0.623 [1 per cell]
F  0.097  0.605  0.052 [1 per cell]
F  0.227  0.024  0.094 [1 per cell]
F  0.280  0.141  0.565 [1 per cell]
F  0.302  0.424  0.322 [1 per cell]
F  0.434  0.398  0.726 [1 per cell]
F  0.723  0.176  0.429 [1 per cell]
F  0.745  0.922  0.901 [1 per cell]
F  0.894  0.364  0.908 [1 per cell]

---

B:
Compound: Cr4O3F9
Source: Alexandria
Functional: PBE+U
Structure: relaxed

Properties
**Total moment**: 0.5625 μB per atom

Cell lengths 5.041, 5.310, 8.854 Å; angles 72.83, 89.58, 61.83 degrees
Space group P1 (No. 1)
One atom of each set of equivalent atoms:
Cr  0.000  0.000  0.000 [1 per cell]
Cr  0.226  0.499  0.746 [1 per cell]
Cr  0.528  0.982  0.508 [1 per cell]
Cr  0.767  0.503  0.250 [1 per cell]
O  0.078  0.238  0.843 [1 per cell]
O  0.931  0.761  0.157 [1 per cell]
O  0.947  0.729  0.568 [1 per cell]
F  0.008  0.230  0.133 [1 per cell]
F  0.082  0.246  0.436 [1 per cell]
F  0.437  0.737  0.688 [1 per cell]
F  0.439  0.737  0.066 [1 per cell]
F  0.499  0.236  0.634 [1 per cell]
F  0.521  0.748  0.375 [1 per cell]
F  0.566  0.262  0.933 [1 per cell]
F  0.579  0.249  0.322 [1 per cell]
F  0.996  0.766  0.867 [1 per cell]

---

B (13.0 kJ/mol of atoms below the next structure)

---

A:
Compound: CrOsOF2
Source: Alexandria
Functional: PBE+U
Structure: relaxed

Properties
**Total moment**: 0.9007 μB per atom

Cell lengths 4.424, 4.424, 3.714 Å; angles 90.00, 90.00, 90.00 degrees
Space group P4/mmm (No. 123)
One atom of each set of equivalent atoms:
Cr  0.000  0.000  0.000 [1 per cell]
Os  0.500  0.500  0.500 [1 per cell]
O  0.500  0.500  0.000 [1 per cell]
F  0.000  0.500  0.500 [2 per cell]

---

B:
Compound: CrOsOF2
Source: Alexandria
Functional: PBE+U
Structure: relaxed

Properties
**Total moment**: 0.8450 μB per atom

Cell lengths 4.066, 4.066, 3.769 Å; angles 90.00, 90.00, 90.00 degrees
Space group P4/mmm (No. 123)
One atom of each set of equivalent atoms:
Cr  0.000  0.000  0.000 [1 per cell]
Os  0.500  0.500  0.500 [1 per cell]
O  0.000  0.000  0.500 [1 per cell]
F  0.000  0.500  0.000 [2 per cell]

---

A (71.9 kJ/mol of atoms below the next structure)

---

A:
Compound: CrPOF2
Source: Alexandria
Functional: PBE+U
Structure: relaxed

Properties
**Total moment**: 0.9967 μB per atom

Cell lengths 4.334, 4.334, 3.558 Å; angles 90.00, 90.00, 90.00 degrees
Space group P4/mmm (No. 123)
One atom of each set of equivalent atoms:
Cr  0.000  0.000  0.000 [1 per cell]
P  0.500  0.500  0.500 [1 per cell]
O  0.500  0.500  0.000 [1 per cell]
F  0.000  0.500  0.500 [2 per cell]

---

B:
Compound: CrPOF2
Source: Alexandria
Functional: PBE+U
Structure: relaxed

Properties
**Total moment**: 0.9922 μB per atom

Cell lengths 3.905, 3.905, 4.197 Å; angles 90.00, 90.00, 90.00 degrees
Space group P4/mmm (No. 123)
One atom of each set of equivalent atoms:
Cr  0.000  0.000  0.000 [1 per cell]
P  0.500  0.500  0.500 [1 per cell]
O  0.000  0.000  0.500 [1 per cell]
F  0.000  0.500  0.000 [2 per cell]

---

A (2.7 kJ/mol of atoms below the next structure)

---

A:
Compound: CrPbOF2
Source: Alexandria
Functional: PBE+U
Structure: relaxed

Properties
**Total moment**: 0.7703 μB per atom

Cell lengths 4.195, 4.195, 4.140 Å; angles 90.00, 90.00, 90.00 degrees
Space group P4/mmm (No. 123)
One atom of each set of equivalent atoms:
Cr  0.000  0.000  0.000 [1 per cell]
Pb  0.500  0.500  0.500 [1 per cell]
O  0.000  0.000  0.500 [1 per cell]
F  0.000  0.500  0.000 [2 per cell]

---

B:
Compound: CrPbOF2
Source: Alexandria
Functional: PBE+U
Structure: relaxed

Properties
**Total moment**: 0.9827 μB per atom

Cell lengths 4.643, 4.643, 4.276 Å; angles 90.00, 90.00, 90.00 degrees
Space group P4/mmm (No. 123)
One atom of each set of equivalent atoms:
Cr  0.000  0.000  0.000 [1 per cell]
Pb  0.500  0.500  0.500 [1 per cell]
O  0.500  0.500  0.000 [1 per cell]
F  0.000  0.500  0.500 [2 per cell]

---

A (65.9 kJ/mol of atoms below the next structure)

---

A:
Compound: RbCrOF2
Source: Alexandria
Functional: PBE+U
Structure: relaxed

Properties
**Total moment**: 0.8283 μB per atom

Cell lengths 4.816, 4.816, 4.423 Å; angles 90.00, 90.00, 90.00 degrees
Space group P4/mmm (No. 123)
One atom of each set of equivalent atoms:
Rb  0.000  0.000  0.000 [1 per cell]
Cr  0.500  0.500  0.500 [1 per cell]
O  0.000  0.000  0.500 [1 per cell]
F  0.000  0.500  0.000 [2 per cell]

---

B:
Compound: RbCrOF2
Source: Alexandria
Functional: PBE+U
Structure: relaxed

Properties
**Total moment**: 0.6000 μB per atom

Cell lengths 4.899, 4.899, 4.565 Å; angles 90.00, 90.00, 90.00 degrees
Space group P4/mmm (No. 123)
One atom of each set of equivalent atoms:
Rb  0.000  0.000  0.000 [1 per cell]
Cr  0.500  0.500  0.000 [1 per cell]
O  0.000  0.000  0.500 [1 per cell]
F  0.000  0.500  0.500 [2 per cell]

---

A (21.6 kJ/mol of atoms below the next structure)

---

A:
Compound: Rb2CrOF
Source: Alexandria
Functional: PBE+U
Structure: relaxed

Properties
**Total moment**: 1.0510 μB per atom

Cell lengths 5.089, 5.089, 5.666 Å; angles 90.00, 90.00, 90.00 degrees
Space group P4/mmm (No. 123)
One atom of each set of equivalent atoms:
Rb  0.000  0.500  0.000 [2 per cell]
Cr  0.000  0.000  0.500 [1 per cell]
O  0.500  0.500  0.500 [1 per cell]
F  0.500  0.500  0.000 [1 per cell]

---

B:
Compound: Rb2CrOF
Source: Alexandria
Functional: PBE+U
Structure: relaxed

Properties
**Total moment**: 1.0000 μB per atom

Cell lengths 5.367, 5.367, 4.240 Å; angles 90.00, 90.00, 90.00 degrees
Space group P4/mmm (No. 123)
One atom of each set of equivalent atoms:
Rb  0.000  0.500  0.000 [2 per cell]
Cr  0.000  0.000  0.500 [1 per cell]
O  0.500  0.500  0.500 [1 per cell]
F  0.000  0.000  0.000 [1 per cell]

---

B (50.2 kJ/mol of atoms below the next structure)